(1)
Here is an optimized crystal structure of LaSmDy5 from Alexandria. Energies are from GGA-PBE.

## Properties
**Space group**: No. 15
**DOS(E_F)**: 9.44 states/eV/f.u.
**ΔE_f**: 1.4 eV per formula unit
**ΔE to the lowest computed polymorph**: 0.0 meV/atom
**Size of the total moment**: 0.00 μB per formula unit
**Volume**: 464.3 Å³/cell

abc: 6.818 6.818 12.180
angles: 106.86 106.86 60.54
Fractional coordinates of all 14 atoms:
1 La 0.026 0.974 0.750
2 La 0.974 0.026 0.250
3 Sm 0.000 0.500 0.000
4 Sm 0.500 0.000 0.500
5 Dy 0.145 0.416 0.749
6 Dy 0.199 0.641 0.501
7 Dy 0.359 0.801 0.999
8 Dy 0.409 0.591 0.250
9 Dy 0.416 0.145 0.249
10 Dy 0.584 0.855 0.751
11 Dy 0.591 0.409 0.750
12 Dy 0.641 0.199 0.001
13 Dy 0.801 0.359 0.499
14 Dy 0.855 0.584 0.251

***

(2)
Here is an optimized crystal structure of LaYSb2 from Alexandria. Energies are from GGA-PBE.

## Properties
**Space group**: No. 139
**DOS(E_F)**: 2.19 states/eV/f.u.
**ΔE to the lowest computed polymorph**: 276.5 meV/atom
**Size of the total moment**: 0.00 μB per formula unit
**Volume**: 114.6 Å³/cell

abc: 5.334 5.334 5.334
angles: 114.27 114.27 100.25
Fractional coordinates of all 4 atoms:
1 La 0.000 0.000 0.000
2 Y 0.500 0.500 0.000
3 Sb 0.250 0.750 0.500
4 Sb 0.750 0.250 0.500

***

(3)
Here is an optimized crystal structure of Cs2BaThS4 from Alexandria. Energies are from GGA-PBE.

## Properties
**Total DFT energy (no corrections)**: -41.7 eV/cell
**Space group**: No. 10
**DOS(E_F)**: 0.00 states/eV/f.u.
**Size of the total moment**: 0.00 μB per formula unit
**Volume**: 278.8 Å³/cell

abc: 7.821 4.412 8.478
angles: 90.00 107.61 90.00
Fractional coordinates of all 8 atoms:
1 Cs 0.000 0.000 0.000
2 Cs 0.500 0.500 0.000
3 Ba 0.000 0.500 0.500
4 Th 0.500 0.000 0.500
5 S 0.269 0.000 0.691
6 S 0.298 0.500 0.314
7 S 0.702 0.500 0.686
8 S 0.731 0.000 0.309

***

(4)
Here is an optimized crystal structure of Ca2NdZn from Alexandria. Energies are from GGA-PBE.

## Properties
**Space group**: No. 123
**DOS(E_F)**: 5.60 states/eV/f.u.
**ΔE_f**: -0.2 eV per formula unit
**ΔE to the lowest computed polymorph**: 0.0 meV/atom
**Size of the total moment**: 0.00 μB per formula unit
**Volume**: 125.8 Å³/cell

abc: 3.616 3.616 9.622
angles: 90.00 90.00 90.00
Fractional coordinates of all 4 atoms:
1 Ca 0.000 0.000 0.195
2 Ca 0.000 0.000 0.805
3 Nd 0.500 0.500 0.500
4 Zn 0.500 0.500 0.000

***

(5)
Here is an optimized crystal structure of IrPt3 from Alexandria. Energies are from GGA-PBE.

## Properties
**Space group**: No. 65
**DOS(E_F)**: 7.89 states/eV/f.u.
**ΔE_f**: 0.2 eV per formula unit
**Size of the total moment**: 0.00 μB per formula unit
**Volume**: 61.5 Å³/cell

abc: 4.826 4.826 2.804
angles: 90.00 90.00 109.63
Fractional coordinates of all 4 atoms:
1 Ir 0.000 0.000 0.000
2 Pt 0.000 0.500 0.500
3 Pt 0.500 0.000 0.500
4 Pt 0.500 0.500 0.000

***

(6)
Here is an optimized crystal structure of In6Ga5 from Alexandria. Energies are from GGA-PBE.

## Properties
**Space group**: No. 12
**DOS(E_F)**: 5.00 states/eV/f.u.
**ΔE_f**: 0.7 eV per formula unit
**Size of the total moment**: 0.00 μB per formula unit
**Volume**: 265.4 Å³/cell

abc: 6.442 6.442 7.032
angles: 97.13 97.13 111.22
Fractional coordinates of all 11 atoms:
1 In 0.035 0.332 0.694
2 In 0.182 0.182 0.202
3 In 0.332 0.035 0.694
4 In 0.668 0.965 0.306
5 In 0.818 0.818 0.798
6 In 0.965 0.668 0.306
7 Ga 0.246 0.754 0.000
8 Ga 0.375 0.625 0.500
9 Ga 0.500 0.500 0.000
10 Ga 0.625 0.375 0.500
11 Ga 0.754 0.246 0.000

***

(7)
Here is an optimized crystal structure of Mg2NiIr from Alexandria. Energies are from GGA-PBE.

## Properties
**Space group**: No. 122
**DOS(E_F)**: 3.55 states/eV/f.u.
**ΔE_f**: 0.9 eV per formula unit
**Size of the total moment**: 0.00 μB per formula unit
**Volume**: 127.6 Å³/cell

abc: 5.570 5.570 5.570
angles: 103.28 103.28 122.71
Fractional coordinates of all 8 atoms:
1 Mg 0.107 0.625 0.982
2 Mg 0.375 0.357 0.482
3 Mg 0.643 0.125 0.018
4 Mg 0.875 0.893 0.518
5 Ni 0.000 0.000 0.000
6 Ni 0.750 0.250 0.500
7 Ir 0.250 0.750 0.500
8 Ir 0.500 0.500 0.000

***

(8)
Here is an optimized crystal structure of Np3Se2S from Alexandria. Energies are from GGA-PBE.

## Properties
**Total DFT energy (no corrections)**: -56.8 eV/cell
**Space group**: No. 71
**DOS(E_F)**: 23.08 states/eV/f.u.
**Size of the total moment**: 13.04 μB per formula unit
**Volume**: 139.8 Å³/cell

abc: 7.018 7.018 7.018
angles: 146.71 131.97 59.69
Fractional coordinates of all 6 atoms:
1 Np 0.000 0.000 0.000
2 Np 0.343 0.343 0.000
3 Np 0.657 0.657 0.000
4 Se 0.171 0.671 0.500
5 Se 0.829 0.329 0.500
6 S 0.500 0.000 0.500

***

(9)
Here is an optimized crystal structure of Tl5Br4Cl from Alexandria. Energies are from GGA-PBE.

## Properties
**Total DFT energy (no corrections)**: -29.3 eV/cell
**Space group**: No. 139
**DOS(E_F)**: 0.00 states/eV/f.u.
**Size of the total moment**: 0.00 μB per formula unit
**Volume**: 376.3 Å³/cell

abc: 17.067 17.067 17.067
angles: 164.03 164.03 22.66
Fractional coordinates of all 10 atoms:
1 Tl 0.000 0.000 0.000
2 Tl 0.200 0.200 0.000
3 Tl 0.403 0.403 0.000
4 Tl 0.597 0.597 0.000
5 Tl 0.800 0.800 0.000
6 Br 0.099 0.099 0.000
7 Br 0.301 0.301 0.000
8 Br 0.699 0.699 0.000
9 Br 0.901 0.901 0.000
10 Cl 0.500 0.500 0.000

***

(10)
Here is an optimized crystal structure of CeDyMgTl from Alexandria. Energies are from GGA-PBE.

## Properties
**Space group**: No. 216
**DOS(E_F)**: 10.78 states/eV/f.u.
**ΔE_f**: -0.6 eV per formula unit
**Size of the total moment**: 1.11 μB per formula unit
**Volume**: 112.1 Å³/cell

abc: 5.413 5.413 5.413
angles: 60.00 60.00 60.00
Fractional coordinates of all 4 atoms:
1 Ce 0.000 0.000 0.000
2 Dy 0.500 0.500 0.500
3 Mg 0.750 0.750 0.750
4 Tl 0.250 0.250 0.250

***

(11)
Here is an optimized crystal structure of LaB2HRu from Alexandria. Energies are from GGA-PBE.

## Properties
**Total DFT energy (no corrections)**: -26.3 eV/cell
**Space group**: No. 123
**DOS(E_F)**: 1.88 states/eV/f.u.
**Size of the total moment**: 0.00 μB per formula unit
**Volume**: 64.2 Å³/cell

abc: 4.330 4.330 3.422
angles: 90.00 90.00 90.00
Fractional coordinates of all 5 atoms:
1 La 0.000 0.000 0.000
2 B 0.000 0.500 0.500
3 B 0.500 0.000 0.500
4 H 0.500 0.500 0.500
5 Ru 0.500 0.500 0.000

***

(12)
Here is an optimized crystal structure of U2Cr2P2C from Alexandria. Energies are from GGA-PBE.

## Properties
**Space group**: No. 139
**DOS(E_F)**: 10.66 states/eV/f.u.
**ΔE_f**: -3.6 eV per formula unit
**Size of the total moment**: 3.51 μB per formula unit
**Volume**: 104.8 Å³/cell

abc: 7.429 7.429 7.429
angles: 149.59 149.59 43.54
Fractional coordinates of all 7 atoms:
1 U 0.171 0.171 0.000
2 U 0.829 0.829 0.000
3 Cr 0.000 0.500 0.500
4 Cr 0.500 0.000 0.500
5 P 0.381 0.381 0.000
6 P 0.619 0.619 0.000
7 C 0.000 0.000 0.000

***

(13)
Here is an optimized crystal structure of Y3Cd2 from Alexandria. Energies are from GGA-PBE.

## Properties
**Space group**: No. 123
**DOS(E_F)**: 6.82 states/eV/f.u.
**ΔE_f**: -1.3 eV per formula unit
**Size of the total moment**: 0.00 μB per formula unit
**Volume**: 278.1 Å³/cell

abc: 3.710 3.710 20.205
angles: 90.00 90.00 90.00
Fractional coordinates of all 10 atoms:
1 Y 0.000 0.000 0.000
2 Y 0.000 0.000 0.188
3 Y 0.000 0.000 0.378
4 Y 0.000 0.000 0.622
5 Y 0.000 0.000 0.812
6 Y 0.500 0.500 0.500
7 Cd 0.500 0.500 0.095
8 Cd 0.500 0.500 0.283
9 Cd 0.500 0.500 0.717
10 Cd 0.500 0.500 0.905

***

(14)
Here is an optimized crystal structure of BeMoCl3 from Alexandria. Energies are from GGA-PBE.

## Properties
**Space group**: No. 221
**DOS(E_F)**: 2.84 states/eV/f.u.
**ΔE to the lowest computed polymorph**: 178.7 meV/atom
**Size of the total moment**: 3.00 μB per formula unit
**Volume**: 125.2 Å³/cell

abc: 5.002 5.002 5.002
angles: 90.00 90.00 90.00
Fractional coordinates of all 5 atoms:
1 Be 0.000 0.000 0.000
2 Mo 0.500 0.500 0.500
3 Cl 0.000 0.500 0.500
4 Cl 0.500 0.000 0.500
5 Cl 0.500 0.500 0.000

***

(15)
Here is an optimized crystal structure of CaFe2 from Alexandria. Energies are from GGA-PBE.

## Properties
**Space group**: No. 164
**DOS(E_F)**: 3.03 states/eV/f.u.
**ΔE_f**: 2.1 eV per formula unit
**Size of the total moment**: 4.82 μB per formula unit
**Volume**: 54.4 Å³/cell

abc: 3.127 3.127 6.424
angles: 90.00 90.00 120.00
Fractional coordinates of all 3 atoms:
1 Ca 0.000 0.000 0.000
2 Fe 0.333 0.667 0.380
3 Fe 0.667 0.333 0.620

***

(16)
Here is an optimized crystal structure of CePr2Ni from Alexandria. Energies are from GGA-PBE.

## Properties
**Space group**: No. 123
**DOS(E_F)**: 7.74 states/eV/f.u.
**ΔE_f**: 0.0 eV per formula unit
**ΔE to the lowest computed polymorph**: 0.0 meV/atom
**Size of the total moment**: 1.19 μB per formula unit
**Volume**: 109.5 Å³/cell

abc: 3.559 3.559 8.644
angles: 90.00 90.00 90.00
Fractional coordinates of all 4 atoms:
1 Ce 0.000 0.000 0.000
2 Pr 0.500 0.500 0.304
3 Pr 0.500 0.500 0.696
4 Ni 0.000 0.000 0.500

***

(17)
Here is an optimized crystal structure of Sb from Alexandria. Energies are from GGA-PBE.

## Properties
**Space group**: No. 221
**DOS(E_F)**: 0.31 states/eV/f.u.
**ΔE to the lowest computed polymorph**: 35.8 meV/atom
**Size of the total moment**: 0.00 μB per formula unit
**Volume**: 29.9 Å³/cell

abc: 3.104 3.104 3.104
angles: 90.00 90.00 90.00
Fractional coordinates of all 1 atoms:
1 Sb 0.000 0.000 0.000